Record 1
The following is a PBE calculation of a relaxed MnMoS crystal, from the Alexandria database.

Values from the calculation:
The value obtained for the energy relative to the elements, uncorrected is -0.119 eV/atom.

The structure in CIF format:
```
data_MnMoS
_chemical_formula_sum 'Mn2 Mo2 S2'
_space_group_name_H-M_alt 'P 4/n m m'
_space_group_IT_number 129
_cell_length_a 2.7584
_cell_length_b 2.7584
_cell_length_c 11.6743
_cell_angle_alpha 90.00
_cell_angle_beta 90.00
_cell_angle_gamma 90.00
loop_
_space_group_symop_operation_xyz
'x,y,z'
'-x,-y,-z'
'-y+1/2,x,z'
'y+1/2,-x,-z'
'-x+1/2,-y+1/2,z'
'x+1/2,y+1/2,-z'
'y,-x+1/2,z'
'-y,x+1/2,-z'
'x+1/2,-y,-z'
'-x+1/2,y,z'
'-y,-x,-z'
'y,x,z'
'-x,y+1/2,-z'
'x,-y+1/2,z'
'y+1/2,x+1/2,-z'
'-y+1/2,-x+1/2,z'
loop_
_atom_site_label
_atom_site_type_symbol
_atom_site_fract_x
_atom_site_fract_y
_atom_site_fract_z
Mn1 Mn 0.2500 0.2500 0.2440
Mo1 Mo 0.2500 0.2500 0.5936
S1 S 0.2500 0.2500 0.8547
```

---

Record 2
The following is a PBE calculation of a relaxed SrGaHg3 crystal, from the Alexandria database.

Values from the calculation:
For the formation energy, the calculation gives -0.1608 eV per atom.

The structure in CIF format:
```
data_SrGaHg3
_chemical_formula_sum 'Sr1 Ga1 Hg3'
_space_group_name_H-M_alt 'P m -3 m'
_space_group_IT_number 221
_space_group_name_Hall '-P 4 2 3'
_cell_length_a 5.2933
_cell_length_b 5.2933
_cell_length_c 5.2933
_cell_angle_alpha 90.00
_cell_angle_beta 90.00
_cell_angle_gamma 90.00
loop_
_atom_site_label
_atom_site_type_symbol
_atom_site_fract_x
_atom_site_fract_y
_atom_site_fract_z
Sr1 Sr 0.0000 0.0000 0.0000
Ga1 Ga 0.5000 0.5000 0.5000
Hg1 Hg 0.0000 0.5000 0.5000
```

---

Record 3
The following is a PBE calculation of a relaxed LuTi2Mo crystal, from the Alexandria database.

Values from the calculation:
For the formation energy, the calculation gives 0.3263 eV per atom.

The structure in CIF format:
```
data_LuTi2Mo
_chemical_formula_sum 'Lu3 Ti6 Mo3'
_space_group_name_H-M_alt 'R -3 m'
_space_group_IT_number 166
_space_group_name_Hall '-R 3 2"'
_cell_length_a 3.0872
_cell_length_b 3.0872
_cell_length_c 29.5310
_cell_angle_alpha 90.00
_cell_angle_beta 90.00
_cell_angle_gamma 120.00
loop_
_atom_site_label
_atom_site_type_symbol
_atom_site_fract_x
_atom_site_fract_y
_atom_site_fract_z
Lu1 Lu 0.0000 0.0000 0.0000
Ti1 Ti 0.0000 0.0000 0.1012
Mo1 Mo 0.0000 0.0000 0.5000
```

---

Record 4
The following is a PBE calculation of a relaxed KLiHg2Rh crystal, from the Alexandria database.

Values from the calculation:
For the formation energy, the calculation gives -0.1166 eV per atom.

The structure in CIF format:
```
data_KLiHg2Rh
_chemical_formula_sum 'K1 Li1 Hg2 Rh1'
_space_group_name_H-M_alt 'P 4/m m m'
_space_group_IT_number 123
_space_group_name_Hall '-P 4 2'
_cell_length_a 5.3187
_cell_length_b 5.3187
_cell_length_c 4.8224
_cell_angle_alpha 90.00
_cell_angle_beta 90.00
_cell_angle_gamma 90.00
loop_
_atom_site_label
_atom_site_type_symbol
_atom_site_fract_x
_atom_site_fract_y
_atom_site_fract_z
K1 K 0.0000 0.0000 0.0000
Li1 Li 0.5000 0.5000 0.0000
Hg1 Hg 0.0000 0.5000 0.5000
Rh1 Rh 0.5000 0.5000 0.5000
```

---

Record 5
The following is a PBE calculation of a relaxed K2RbIn2 crystal, from the Alexandria database.

Values from the calculation:
For the formation energy, the calculation gives 0.0771 eV per atom.

The structure in CIF format:
```
data_K2RbIn2
_chemical_formula_sum 'K4 Rb2 In4'
_space_group_name_H-M_alt 'P 4/m b m'
_space_group_IT_number 127
_space_group_name_Hall '-P 4 2ab'
_cell_length_a 10.9923
_cell_length_b 10.9923
_cell_length_c 3.6635
_cell_angle_alpha 90.00
_cell_angle_beta 90.00
_cell_angle_gamma 90.00
loop_
_atom_site_label
_atom_site_type_symbol
_atom_site_fract_x
_atom_site_fract_y
_atom_site_fract_z
K1 K 0.1318 0.3682 0.0000
Rb1 Rb 0.0000 0.0000 0.0000
In1 In 0.1632 0.6632 0.5000
```

---

Record 6
The following is a PBE calculation of a relaxed Mg2InSn crystal, from the Alexandria database.

Values from the calculation:
For the formation energy, the calculation gives 0.0264 eV per atom.

The structure in CIF format:
```
data_Mg2InSn
_chemical_formula_sum 'Mg8 In4 Sn4'
_space_group_name_H-M_alt 'I -4 2 d'
_space_group_IT_number 122
_space_group_name_Hall 'I -4 2bw'
_cell_length_a 4.6371
_cell_length_b 4.6371
_cell_length_c 19.6331
_cell_angle_alpha 90.00
_cell_angle_beta 90.00
_cell_angle_gamma 90.00
loop_
_atom_site_label
_atom_site_type_symbol
_atom_site_fract_x
_atom_site_fract_y
_atom_site_fract_z
Mg1 Mg 0.2439 0.2500 0.1250
In1 In 0.0000 0.0000 0.0000
Sn1 Sn 0.0000 0.0000 0.5000
```

---

Number 1: V 14.80 A^3/atom. Number 2: V 29.66 A^3/atom. Number 3: V 20.31 A^3/atom. Number 4: V 27.28 A^3/atom. Number 5: V 44.27 A^3/atom. Number 6: V 26.39 A^3/atom.